Record 1
VASP calculation (PBE) on crystalline YInTe2 at its relaxed geometry.

## Properties
Calculated total energy   -4.83 eV per atom
E_form (uncorrected)   -3.849 eV per formula unit

a = 7.6580 Å, b = 8.8444 Å, c = 4.4050 Å
α = 104.38°, β = 90.00°, γ = 79.62°
Last column: nearest neighbours and their distance in Å.
Sites, in units of the cell vectors:
Te (0.5914, 0.9074, 0.0974)  3 Y 3.08-3.12, 1 In 3.20
In (0.8512, 0.1597, 0.2231)  4 Te 3.20-3.46, 1 In 3.27
Y (0.8040, 0.7027, 0.4954)  6 Te 3.08-3.12
Te (0.0125, 0.4858, 0.8874)  3 Y 3.09-3.12, 2 In 3.36-3.37
Te (0.0925, 0.9121, 0.5997)  3 Y 3.09-3.12, 2 In 3.36
Te (0.5135, 0.4904, 0.3893)  3 Y 3.08-3.12, 1 In 3.20
In (0.2535, 0.2377, 0.2648)  4 Te 3.20-3.46, 1 In 3.27
Y (0.3010, 0.6950, 0.9914)  6 Te 3.08-3.12

=====

Record 2
VASP calculation (PBE) on crystalline YInTe at its relaxed geometry.

## Properties
Calculated total energy   -4.61 eV per atom
E_form (uncorrected)   -1.494 eV per formula unit

a = 4.0418 Å, b = 4.0418 Å, c = 6.6883 Å
α = 90.00°, β = 90.00°, γ = 120.00°
Last column: nearest neighbours and their distance in Å.
Sites, in units of the cell vectors:
Y (0.3333, 0.6667, 0.6453)  3 Te 3.01, 3 In 3.30
Te (0.6667, 0.3333, 0.3601)  3 Y 3.01
In (0.0000, 0.0000, 0.9946)  3 Y 3.30, 3 Te 3.38

=====

Record 3
VASP calculation (PBE) on crystalline YInTe2 at its relaxed geometry.

## Properties
Calculated total energy   -4.80 eV per atom
E_form (uncorrected)   -3.707 eV per formula unit

a = 4.5666 Å, b = 4.3117 Å, c = 6.3226 Å
α = 70.05°, β = 90.00°, γ = 90.00°
Last column: nearest neighbours and their distance in Å.
Sites, in units of the cell vectors:
Y (0.0000, 0.7070, 0.4615)  2 In 3.20, 7 Te 3.24-3.49
In (0.5000, 0.5172, 0.8396)  5 Te 2.88-3.15, 2 Y 3.20
Te (0.5000, 0.2757, 0.3241)  1 In 2.88
Te (0.0000, 0.0002, 0.8749)  4 In 3.15, 3 Y 3.27-3.49

=====

Record 4
VASP calculation (PBE) on crystalline YInTe2 at its relaxed geometry.

## Properties
Calculated total energy   -4.73 eV per atom
E_form (uncorrected)   -3.433 eV per formula unit

a = 10.9609 Å, b = 8.6143 Å, c = 6.1760 Å
α = 90.00°, β = 90.00°, γ = 90.00°
Last column: nearest neighbours and their distance in Å.
Sites, in units of the cell vectors:
Y (0.5505, 0.6621, 0.0624)  5 Te 2.98-3.09
Y (0.0505, 0.8379, 0.0624)  5 Te 2.98-3.09
Te (0.1758, 0.3540, 0.5625)  2 Y 2.98-3.00, 2 In 3.28
Te (0.8242, 0.6460, 0.0625)  2 Y 2.98-3.00, 2 In 3.28
Te (0.5594, 0.6604, 0.5624)  3 Y 3.03-3.09, 1 In 3.13
Te (0.4406, 0.3396, 0.0624)  3 Y 3.03-3.09, 1 In 3.13
Te (0.0594, 0.8396, 0.5624)  3 Y 3.03-3.09, 1 In 3.13
Y (0.4495, 0.3379, 0.5624)  5 Te 2.98-3.09
Te (0.3242, 0.8540, 0.0625)  2 Y 2.98-3.00, 2 In 3.28
Te (0.6758, 0.1460, 0.5625)  2 Y 2.98-3.00, 2 In 3.28
In (0.6777, 0.0178, 0.0625)  3 Te 3.13-3.28, 1 Y 3.37
Te (0.9406, 0.1604, 0.0624)  3 Y 3.03-3.09, 1 In 3.13
In (0.8223, 0.5178, 0.5625)  3 Te 3.13-3.28, 1 Y 3.37
Y (0.9495, 0.1621, 0.5624)  5 Te 2.98-3.09
In (0.1777, 0.4822, 0.0625)  3 Te 3.13-3.28, 1 Y 3.37
In (0.3223, 0.9822, 0.5625)  3 Te 3.13-3.28, 1 Y 3.37

=====

Record 5
VASP calculation (PBE) on crystalline YIn3Te at its relaxed geometry.

## Properties
Calculated total energy   -3.01 eV per atom
E_form (uncorrected)   2.754 eV per formula unit
Relative energy among the computed polymorphs   40 meV per atom

a = 5.9262 Å, b = 5.9262 Å, c = 5.9262 Å
α = 90.00°, β = 90.00°, γ = 90.00°
Last column: nearest neighbours and their distance in Å.
Sites, in units of the cell vectors:
Y (0.0000, 0.0000, 0.0000)  6 In 2.96
In (0.5000, 0.0000, 0.0000)  2 Y 2.96
Te (0.5000, 0.5000, 0.5000)  12 In 4.19
In (0.0000, 0.0000, 0.5000)  2 Y 2.96
In (0.0000, 0.5000, 0.0000)  2 Y 2.96

=====

Record 6
VASP calculation (PBE) on crystalline YInTe at its relaxed geometry.

## Properties
Calculated total energy   -4.84 eV per atom
E_form (uncorrected)   -2.190 eV per formula unit

a = 4.6119 Å, b = 4.6119 Å, c = 11.5486 Å
α = 78.48°, β = 78.48°, γ = 60.00°
Last column: nearest neighbours and their distance in Å.
Sites, in units of the cell vectors:
Y (0.5705, 0.5705, 0.2886)  3 Te 3.03, 3 In 3.29
Y (0.4295, 0.4295, 0.7114)  3 Te 3.03, 3 In 3.29
In (0.1537, 0.1537, 0.5389)  3 In 2.80
Te (0.2798, 0.2798, 0.1607)  3 Y 3.03
In (0.8463, 0.8463, 0.4611)  3 In 2.80
Te (0.7202, 0.7202, 0.8393)  3 Y 3.03

=====

Record 7
VASP calculation (PBE) on crystalline YIn2Te2 at its relaxed geometry.

## Properties
Calculated total energy   -3.95 eV per atom
E_form (uncorrected)   -1.548 eV per formula unit
Relative energy among the computed polymorphs   157 meV per atom

a = 5.9821 Å, b = 5.9821 Å, c = 6.1042 Å
α = 60.66°, β = 60.66°, γ = 90.00°
Last column: nearest neighbours and their distance in Å.
Sites, in units of the cell vectors:
Y (0.0000, 0.0000, 0.0000)  2 In 3.02
Te (0.2500, 0.7500, 0.5000)  4 In 3.10
In (0.3430, 0.3430, 0.3140)  1 In 2.76, 1 Y 3.02
Te (0.7500, 0.2500, 0.5000)  4 In 3.10
In (0.6570, 0.6570, 0.6860)  1 In 2.76, 1 Y 3.02

=====

Record 8
VASP calculation (PBE) on crystalline YInTe2 at its relaxed geometry.

## Properties
Calculated total energy   -4.59 eV per atom
E_form (uncorrected)   -2.861 eV per formula unit

a = 4.7492 Å, b = 4.7492 Å, c = 8.6908 Å
α = 90.00°, β = 90.00°, γ = 120.00°
Last column: nearest neighbours and their distance in Å.
Sites, in units of the cell vectors:
In (0.0000, 0.0000, 0.9508)  3 Te 3.17
Y (0.3333, 0.6667, 0.4400)  4 Te 2.85-3.01
Te (0.6667, 0.3333, 0.2965)  3 Y 3.01
Te (0.3333, 0.6667, 0.7677)  1 Y 2.85, 3 In 3.17

=====

Record 9
VASP calculation (PBE) on crystalline YInTe2 at its relaxed geometry.

## Properties
Calculated total energy   -4.59 eV per atom
E_form (uncorrected)   -2.878 eV per formula unit

a = 8.2834 Å, b = 8.2834 Å, c = 7.4643 Å
α = 56.30°, β = 56.30°, γ = 90.00°
Last column: nearest neighbours and their distance in Å.
Sites, in units of the cell vectors:
Te (0.5893, 0.1250, 0.2500)  2 Y 2.96
Y (0.5000, 0.5000, 0.0000)  4 Te 2.96
In (0.0000, 0.0000, 0.0000)  4 Te 3.35
In (0.7500, 0.2500, 0.5000)  4 Te 3.35
Te (0.3750, 0.4107, 0.7500)  2 Y 2.96
Te (0.1607, 0.6250, 0.2500)  2 Y 2.96
Y (0.2500, 0.7500, 0.5000)  4 Te 2.96
Te (0.8750, 0.8393, 0.7500)  2 Y 2.96

=====

Record 10
VASP calculation (PBE) on crystalline Y3ZrIn3Te8 at its relaxed geometry.

## Properties
Calculated total energy   -5.04 eV per atom
E_form (uncorrected)   -14.363 eV per formula unit

a = 8.6467 Å, b = 8.6466 Å, c = 9.5391 Å
α = 116.94°, β = 90.00°, γ = 120.00°
Last column: nearest neighbours and their distance in Å.
Sites, in units of the cell vectors:
Te (0.7683, 0.5367, 0.2842)  1 Zr 2.97, 2 Y 3.09
Zr (0.0000, 0.0000, 0.5000)  6 Te 2.97
Te (0.2317, 0.4633, 0.7158)  1 Zr 2.97, 2 Y 3.09
Te (0.7524, 0.9841, 0.7157)  1 Zr 2.97, 2 Y 3.09
Y (0.5000, 0.5000, 0.5000)  6 Te 3.08-3.09
Y (0.0000, 0.5000, 0.5000)  6 Te 3.08-3.09
In (0.0000, 0.5000, 0.0000)  6 Te 3.36-3.37
Te (0.7684, 0.0159, 0.2843)  1 Zr 2.97, 2 Y 3.09
Te (0.7408, 0.4816, 0.7224)  3 Y 3.08, 3 In 3.36-3.37
In (0.5000, 0.5000, 0.0000)  6 Te 3.36-3.37
In (0.0000, 0.0000, 0.0000)  6 Te 3.36-3.37
Y (0.5000, 0.0000, 0.5000)  6 Te 3.08-3.09
Te (0.2476, 0.0159, 0.2843)  1 Zr 2.97, 2 Y 3.09
Te (0.2316, 0.9841, 0.7157)  1 Zr 2.97, 2 Y 3.09
Te (0.2592, 0.5184, 0.2776)  3 Y 3.08, 3 In 3.36-3.37

=====

Record 11
VASP calculation (PBE) on crystalline Zn2InTe at its relaxed geometry.

## Properties
Calculated total energy   -2.06 eV per atom
E_form (uncorrected)   0.195 eV per formula unit
Relative energy among the computed polymorphs   54 meV per atom

a = 6.7742 Å, b = 6.7742 Å, c = 7.0342 Å
α = 61.22°, β = 61.22°, γ = 90.00°
Last column: nearest neighbours and their distance in Å.
Sites, in units of the cell vectors:
Te (0.0000, 0.0000, 0.0000)  4 Zn 2.69
Zn (0.3750, 0.3679, 0.7500)  2 Te 2.69, 2 In 2.75
Zn (0.6321, 0.1250, 0.2500)  2 Te 2.69, 2 In 2.75
Te (0.7500, 0.2500, 0.5000)  4 Zn 2.69
In (0.2500, 0.7500, 0.5000)  4 Zn 2.75
In (0.5000, 0.5000, 0.0000)  4 Zn 2.75
Zn (0.1179, 0.6250, 0.2500)  2 Te 2.69, 2 In 2.75
Zn (0.8750, 0.8821, 0.7500)  2 Te 2.69, 2 In 2.75

=====

Record 12
VASP calculation (PBE) on crystalline ZnInTe3 at its relaxed geometry.

## Properties
Calculated total energy   -2.14 eV per atom
E_form (uncorrected)   2.749 eV per formula unit
Relative energy among the computed polymorphs   789 meV per atom

a = 5.7175 Å, b = 5.7175 Å, c = 5.7175 Å
α = 90.00°, β = 90.00°, γ = 90.00°
Last column: nearest neighbours and their distance in Å.
Sites, in units of the cell vectors:
In (0.0000, 0.0000, 0.0000)  6 Te 2.86
Te (0.0000, 0.5000, 0.0000)  2 In 2.86
Te (0.5000, 0.0000, 0.0000)  2 In 2.86
Te (0.0000, 0.0000, 0.5000)  2 In 2.86
Zn (0.5000, 0.5000, 0.5000)  12 Te 4.04